A plane-wave DFT calculation with PBE-GGA was carried out for a geometry-optimized Cs2Rb6HAu3 structure.

## Properties
As for the space group: C2/m, No. 12. The final energy comes out at -1.862 eV per atom. The density of states at the Fermi level is 7.9 states/eV per cell. The calculation puts the spin magnetization at 0.98 Bohr magnetons per cell.

a = 8.1682 Å, b = 9.6396 Å, c = 9.8030 Å
α = 119.45°, β = 88.47°, γ = 90.00°
Last column: nearest neighbours and their distance in Å.
Sites, in units of the cell vectors:
Rb (0.2702, 0.1685, 0.8564)  1 H 3.25, 2 Au 3.53
Rb (0.2902, 0.1491, 0.2982)  1 H 3.02
Rb (0.7298, 0.8315, 0.1436)  1 H 3.25, 2 Au 3.53
Rb (0.2702, 0.6878, 0.8564)  1 H 3.25, 2 Au 3.53
Rb (0.7098, 0.8509, 0.7018)  1 H 3.02
Rb (0.7298, 0.3122, 0.1436)  1 H 3.25, 2 Au 3.53
Cs (0.7845, 0.3217, 0.6435)  3 Au 3.56-3.59
Cs (0.2155, 0.6783, 0.3565)  3 Au 3.56-3.59
Au (0.0000, 0.5000, 0.0000)  4 Rb 3.53, 2 Cs 3.56
Au (0.5000, 0.0000, 0.5000)  4 Rb 3.45-3.53, 2 Cs 3.59
Au (0.5000, 0.5000, 0.5000)  4 Rb 3.45-3.53, 2 Cs 3.59
H (0.5000, 0.0000, 0.0000)  6 Rb 3.02-3.25